Entry 1:
# TcTe2Pb (PBE, optimized geometry)
# electronic total energy: -4.52 eV/atom
# DOS(E_F): 2.87 states/eV/cell
# energy relative to the elements, uncorrected: 0.574 eV/atom
data_TcTe2Pb
_chemical_formula_sum 'Tc1 Te2 Pb1'
_symmetry_space_group_name_H-M 'P 4/m m m'
_symmetry_Int_Tables_number 123
_symmetry_space_group_name_Hall '-P 4 2'
_cell_length_a 5.320
_cell_length_b 5.320
_cell_length_c 3.506
_cell_angle_alpha 90.00
_cell_angle_beta 90.00
_cell_angle_gamma 90.00
loop_
_atom_site_label
_atom_site_fract_x
_atom_site_fract_y
_atom_site_fract_z
Tc1 0.000 0.000 0.000
Te1 0.000 0.500 0.500
Pb1 0.500 0.500 0.000

=====

Entry 2:
# TcTe2Pb (PBE, optimized geometry)
# electronic total energy: -4.41 eV/atom
# DOS(E_F): 7.37 states/eV/cell
# energy relative to the elements, uncorrected: 0.682 eV/atom
data_TcTe2Pb
_chemical_formula_sum 'Tc2 Te4 Pb2'
_symmetry_space_group_name_H-M 'I -4 m 2'
_symmetry_Int_Tables_number 119
_symmetry_space_group_name_Hall 'I -4 -2'
_cell_length_a 4.440
_cell_length_b 4.440
_cell_length_c 10.659
_cell_angle_alpha 90.00
_cell_angle_beta 90.00
_cell_angle_gamma 90.00
loop_
_atom_site_label
_atom_site_fract_x
_atom_site_fract_y
_atom_site_fract_z
Tc1 0.000 0.000 0.000
Te1 0.000 0.000 0.500
Te2 0.000 0.500 0.750
Pb1 0.000 0.500 0.250